BaLiSb2 | PBE | relaxed

Summary:
Size of the total moment = 0.00 μB per cell
Uncorrected energy = -3.3178 eV/atom
Density = 5.436 g cm⁻³
E_form (uncorrected) = -1.2 eV per formula unit

The structure in POSCAR format:
```
BaLiSb2
1.0
1.8480 1.0670 10.0121
-1.8480 1.0670 10.0121
0.0000 -2.1339 10.0121
Ba Li Sb
1 1 2
Cartesian
0.0000 0.0000 0.0000
0.0000 0.0000 15.0181
0.0000 0.0000 7.1516
0.0000 0.0000 22.8845
```